(1)
{"formula": "NaZn2Ga6", "functional": "GGA-PBE", "state": "relaxed", "space_group": "No. 191", "lattice": [[7.956, 0.000, 0.000], [-3.978, 6.890, 0.000], [0.000, 0.000, 3.107]], "species": ["Na", "Zn", "Zn", "Ga", "Ga", "Ga", "Ga", "Ga", "Ga"], "fractional_positions": [[0.000, 0.000, 0.000], [0.333, 0.667, 0.000], [0.667, 0.333, 0.000], [0.000, 0.339, 0.500], [0.000, 0.661, 0.500], [0.339, 0.000, 0.500], [0.339, 0.339, 0.500], [0.661, 0.000, 0.500], [0.661, 0.661, 0.500]]}

=====

(2)
{"formula": "LiCd7Hg12", "functional": "GGA-PBE", "state": "relaxed", "space_group": "No. 148", "lattice": [[6.798, 3.925, 3.071], [-6.798, 3.925, 3.071], [0.000, -7.850, 3.071]], "species": ["Li", "Cd", "Cd", "Cd", "Cd", "Cd", "Cd", "Cd", "Hg", "Hg", "Hg", "Hg", "Hg", "Hg", "Hg", "Hg", "Hg", "Hg", "Hg", "Hg"], "fractional_positions": [[0.000, 0.000, 0.000], [0.039, 0.121, 0.687], [0.121, 0.687, 0.039], [0.313, 0.961, 0.879], [0.500, 0.500, 0.500], [0.687, 0.039, 0.121], [0.879, 0.313, 0.961], [0.961, 0.879, 0.313], [0.083, 0.290, 0.366], [0.211, 0.708, 0.442], [0.290, 0.366, 0.083], [0.292, 0.558, 0.789], [0.366, 0.083, 0.290], [0.442, 0.211, 0.708], [0.558, 0.789, 0.292], [0.634, 0.917, 0.710], [0.708, 0.442, 0.211], [0.710, 0.634, 0.917], [0.789, 0.292, 0.558], [0.917, 0.710, 0.634]]}

=====

(3)
{"formula": "In2GaOs", "functional": "GGA-PBE", "state": "relaxed", "space_group": "No. 122", "lattice": [[4.047, 0.000, 0.000], [0.000, 4.047, 0.000], [0.000, 0.000, 19.873]], "species": ["In", "In", "In", "In", "In", "In", "In", "In", "Ga", "Ga", "Ga", "Ga", "Os", "Os", "Os", "Os"], "fractional_positions": [[0.243, 0.250, 0.125], [0.250, 0.743, 0.375], [0.250, 0.757, 0.875], [0.257, 0.250, 0.625], [0.743, 0.750, 0.625], [0.750, 0.243, 0.875], [0.750, 0.257, 0.375], [0.757, 0.750, 0.125], [0.000, 0.000, 0.500], [0.000, 0.500, 0.750], [0.500, 0.000, 0.250], [0.500, 0.500, 0.000], [0.000, 0.000, 0.000], [0.000, 0.500, 0.250], [0.500, 0.000, 0.750], [0.500, 0.500, 0.500]]}

=====

(4)
{"formula": "Pr2Ga3Ge2", "functional": "GGA-PBE", "state": "relaxed", "space_group": "No. 10", "lattice": [[4.233, 0.000, 0.000], [0.000, 4.193, 0.000], [-2.045, 0.000, 9.340]], "species": ["Pr", "Pr", "Ga", "Ga", "Ga", "Ge", "Ge"], "fractional_positions": [[0.141, 0.000, 0.279], [0.859, 0.000, 0.721], [0.000, 0.500, 0.000], [0.281, 0.500, 0.565], [0.719, 0.500, 0.435], [0.412, 0.500, 0.830], [0.588, 0.500, 0.170]]}

=====

(5)
{"formula": "Dy8In3Ge2", "functional": "GGA-PBE", "state": "relaxed", "space_group": "No. 65", "lattice": [[4.386, -7.740, 0.000], [4.386, 7.740, 0.000], [0.000, 0.000, 5.352]], "species": ["Dy", "Dy", "Dy", "Dy", "Dy", "Dy", "Dy", "Dy", "In", "In", "In", "Ge", "Ge"], "fractional_positions": [[0.109, 0.891, 0.000], [0.157, 0.411, 0.500], [0.312, 0.688, 0.000], [0.411, 0.157, 0.500], [0.589, 0.843, 0.500], [0.688, 0.312, 0.000], [0.843, 0.589, 0.500], [0.891, 0.109, 0.000], [0.000, 0.000, 0.500], [0.322, 0.322, 0.000], [0.678, 0.678, 0.000], [0.228, 0.772, 0.500], [0.772, 0.228, 0.500]]}

=====

(6)
{"formula": "La5PmDy2Y", "functional": "GGA-PBE", "state": "relaxed", "space_group": "No. 63", "lattice": [[2.761, -10.935, 0.000], [2.761, 10.935, 0.000], [0.000, 0.000, 10.665]], "species": ["La", "La", "La", "La", "La", "La", "La", "La", "La", "La", "Pm", "Pm", "Dy", "Dy", "Dy", "Dy", "Y", "Y"], "fractional_positions": [[0.000, 0.000, 0.000], [0.000, 0.000, 0.500], [0.123, 0.877, 0.750], [0.221, 0.779, 0.060], [0.221, 0.779, 0.440], [0.500, 0.500, 0.250], [0.500, 0.500, 0.750], [0.779, 0.221, 0.560], [0.779, 0.221, 0.940], [0.877, 0.123, 0.250], [0.286, 0.714, 0.750], [0.714, 0.286, 0.250], [0.387, 0.613, 0.502], [0.387, 0.613, 0.998], [0.613, 0.387, 0.002], [0.613, 0.387, 0.498], [0.101, 0.899, 0.250], [0.899, 0.101, 0.750]]}

=====

| no. | E_form (eV/atom) |
| --- | --- |
| 1 | 0.042 |
| 2 | -0.011 |
| 3 | 0.661 |
| 4 | -0.465 |
| 5 | -0.350 |
| 6 | 0.126 |